Here is a relaxed structure of Ti3Be8Re from the Alexandria database. Energies are from PBE-GGA.

```
data_Ti3Be8Re
_cell_length_a 4.4797
_cell_length_b 4.4797
_cell_length_c 22.0440
_cell_angle_alpha 90.00
_cell_angle_beta 90.00
_cell_angle_gamma 120.00
_symmetry_space_group_name_H-M 'R 3 m'
_symmetry_Int_Tables_number 160
_symmetry_space_group_name_Hall 'R 3 -2"'
loop_
_atom_site_label
_atom_site_type_symbol
_atom_site_fract_x
_atom_site_fract_y
_atom_site_fract_z
Ti1 Ti 0.0000 0.0000 0.0000
Ti2 Ti 0.0000 0.0000 0.1258
Ti3 Ti 0.0000 0.0000 0.5025
Be1 Be 0.0000 0.0000 0.3140
Be2 Be 0.0000 0.0000 0.8122
Be3 Be 0.0011 0.5005 0.5658
Be4 Be 0.1698 0.3397 0.3944
Re1 Re 0.0000 0.0000 0.6257
```

Computed properties:
As for the crystal system: trigonal. For the total energy, the calculation gives -5.794 eV/atom.